# FeRu2Se | Alexandria via LeMat-Bulk | PBE-GGA | relaxed
# energy	-29.2	eV/cell
# DOS at the Fermi energy	4.92	states/eV/f.u.
# raw formation energy	0.313	eV/atom
data_FeRu2Se
_cell_length_a 4.7188
_cell_length_b 4.7188
_cell_length_c 4.3837
_cell_angle_alpha 92.95
_cell_angle_beta 92.95
_cell_angle_gamma 35.94
_symmetry_space_group_name_H-M 'P 1'
_symmetry_Int_Tables_number 1
_symmetry_space_group_name_Hall 'P 1'
loop_
_atom_site_label
_atom_site_fract_x
_atom_site_fract_y
_atom_site_fract_z
Fe1 0.0000 0.0000 0.0000
Ru1 0.4611 0.4611 0.4739
Ru2 0.7316 0.7316 0.2313
Se1 0.2317 0.2317 0.7617